1.
First-principles (PBE) data for a relaxed SrMn2Au crystal, as listed in Alexandria.

Computed properties:
ΔE_f, kJ/mol of atoms: 38
Raw total energy, eV per atom: -5.434

a b c (Å): 7.0768 7.0768 7.0768
angles (deg): 90.00 90.00 90.00
Space group F-43m (No. 216)
Inequivalent atoms, fractional coordinates:
Sr 0.0000 0.0000 0.0000 [4 per cell]
Mn 0.0000 0.0000 0.5000 [4 per cell]
Mn 0.2500 0.2500 0.7500 [4 per cell]
Au 0.2500 0.2500 0.2500 [4 per cell]

***

2.
First-principles (PBE) data for a relaxed Rb2MoBr6Cl crystal, as listed in Alexandria.

Computed properties:
Raw total energy, eV per atom: -3.339
Distance to the lowest polymorph of the same formula, eV/atom: 0.084

a b c (Å): 8.1397 8.1397 11.5709
angles (deg): 90.00 90.00 90.00
Space group I4/mmm (No. 139)
Inequivalent atoms, fractional coordinates:
Rb 0.0000 0.5000 0.2500 [4 per cell]
Mo 0.0000 0.0000 0.0000 [2 per cell]
Br 0.0000 0.0000 0.2193 [4 per cell]
Br 0.2204 0.2204 0.0000 [8 per cell]
Cl 0.0000 0.0000 0.5000 [2 per cell]

***

3.
First-principles (PBE) data for a relaxed MnCrSb2Te crystal, as listed in Alexandria.

Computed properties:
Raw total energy, eV per atom: -5.366
Distance to the lowest polymorph of the same formula, eV/atom: 0.000

a b c (Å): 5.0109 5.0109 5.4759
angles (deg): 90.00 90.00 90.00
Space group P4/mmm (No. 123)
Inequivalent atoms, fractional coordinates:
Mn 0.0000 0.0000 0.0000 [1 per cell]
Cr 0.5000 0.5000 0.5000 [1 per cell]
Sb 0.0000 0.5000 0.5000 [2 per cell]
Te 0.5000 0.5000 0.0000 [1 per cell]

***

4.
First-principles (PBE) data for a relaxed LiCaHo crystal, as listed in Alexandria.

Computed properties:
ΔE_f, kJ/mol of atoms: 7
Raw total energy, eV per atom: -2.763
Distance to the lowest polymorph of the same formula, eV/atom: 0.000

a b c (Å): 3.6753 17.6477 5.6289
angles (deg): 90.00 90.00 90.00
Space group Cmcm (No. 63)
Inequivalent atoms, fractional coordinates:
Li 0.0000 0.0750 0.2500 [4 per cell]
Ca 0.0000 0.4099 0.2500 [4 per cell]
Ho 0.0000 0.2731 0.7500 [4 per cell]

***

5.
First-principles (PBE) data for a relaxed PmPuSnTe crystal, as listed in Alexandria.

Computed properties:
Raw total energy, eV per atom: -7.223

a b c (Å): 7.6727 7.6727 7.6727
angles (deg): 90.00 90.00 90.00
Space group F-43m (No. 216)
Inequivalent atoms, fractional coordinates:
Pm 0.0000 0.0000 0.0000 [4 per cell]
Pu 0.0000 0.0000 0.5000 [4 per cell]
Sn 0.2500 0.2500 0.2500 [4 per cell]
Te 0.2500 0.2500 0.7500 [4 per cell]

***

6.
First-principles (PBE) data for a relaxed AlAg4F8 crystal, as listed in Alexandria.

Computed properties:
Raw total energy, eV per atom: -4.027

a b c (Å): 6.8949 6.8949 16.2188
angles (deg): 90.00 90.00 120.00
Space group R-3m (No. 166, hexagonal axes)
Inequivalent atoms, fractional coordinates:
Al 0.0000 0.0000 0.0000 [3 per cell]
Ag 0.0000 0.0000 0.5000 [3 per cell]
Ag 0.0000 0.5000 0.5000 [9 per cell]
F 0.0000 0.0000 0.2278 [6 per cell]
F 0.0790 0.5395 0.7321 [18 per cell]

***

7.
First-principles (PBE) data for a relaxed Ti2AlIn crystal, as listed in Alexandria.

Computed properties:
ΔE_f, kJ/mol of atoms: -27
Raw total energy, eV per atom: -5.852

a b c (Å): 2.9061 2.9061 8.3642
angles (deg): 90.00 90.00 90.00
Space group P4/mmm (No. 123)
Inequivalent atoms, fractional coordinates:
Ti 0.0000 0.0000 0.2286 [2 per cell]
Al 0.5000 0.5000 0.0000 [1 per cell]
In 0.5000 0.5000 0.5000 [1 per cell]

***

8.
First-principles (PBE) data for a relaxed MgSnGe2Cl8 crystal, as listed in Alexandria.

Computed properties:
Raw total energy, eV per atom: -3.543

a b c (Å): 6.2158 6.6592 8.2009
angles (deg): 88.90 89.91 87.36
Space group P-1 (No. 2)
Inequivalent atoms, fractional coordinates:
Mg 0.0000 0.0000 0.0000 [1 per cell]
Sn 0.0000 0.0000 0.5000 [1 per cell]
Ge 0.4639 0.4520 0.7642 [2 per cell]
Cl 0.1998 0.8182 0.7805 [2 per cell]
Cl 0.2457 0.3086 0.9717 [2 per cell]
Cl 0.2514 0.8590 0.2270 [2 per cell]
Cl 0.2755 0.3338 0.5322 [2 per cell]

***

9.
First-principles (PBE) data for a relaxed Sc3Ir2 crystal, as listed in Alexandria.

Computed properties:
ΔE_f, kJ/mol of atoms: -73
Raw total energy, eV per atom: -8.099
Distance to the lowest polymorph of the same formula, eV/atom: 0.101

a b c (Å): 4.1201 10.1562 9.4295
angles (deg): 90.00 90.00 90.00
Space group Cmcm (No. 63)
Inequivalent atoms, fractional coordinates:
Sc 0.0000 0.0989 0.2500 [4 per cell]
Sc 0.0000 0.3481 0.0617 [8 per cell]
Ir 0.0000 0.0000 0.0000 [4 per cell]
Ir 0.0000 0.1834 0.7500 [4 per cell]

***

10.
First-principles (PBE) data for a relaxed K3Ba5Br12 crystal, as listed in Alexandria.

Computed properties:
Raw total energy, eV per atom: -3.532

a b c (Å): 19.7541 19.7541 19.7541
angles (deg): 90.00 90.00 90.00
Space group Ia-3d (No. 230)
Inequivalent atoms, fractional coordinates:
K 0.0000 0.2500 0.1250 [24 per cell]
Ba 0.0000 0.0000 0.0000 [16 per cell]
Ba 0.0000 0.2500 0.3750 [24 per cell]
Br 0.0207 0.0643 0.6511 [96 per cell]

***

11.
First-principles (PBE) data for a relaxed Ba2TlPPd crystal, as listed in Alexandria.

Computed properties:
ΔE_f, kJ/mol of atoms: -52
Raw total energy, eV per atom: -3.898

a b c (Å): 6.2749 6.2749 4.4885
angles (deg): 90.00 90.00 90.00
Space group P4/mmm (No. 123)
Inequivalent atoms, fractional coordinates:
Ba 0.0000 0.5000 0.0000 [2 per cell]
Tl 0.0000 0.0000 0.5000 [1 per cell]
P 0.5000 0.5000 0.0000 [1 per cell]
Pd 0.5000 0.5000 0.5000 [1 per cell]

***

12.
First-principles (PBE) data for a relaxed Th2NiBPt6 crystal, as listed in Alexandria.

Computed properties:
ΔE_f, kJ/mol of atoms: -82
Raw total energy, eV per atom: -7.207

a b c (Å): 5.7056 5.7056 38.6110
angles (deg): 90.00 90.00 120.00
Space group R-3m (No. 166, hexagonal axes)
Inequivalent atoms, fractional coordinates:
Th 0.0000 0.0000 0.1065 [6 per cell]
Th 0.0000 0.0000 0.2752 [6 per cell]
Ni 0.0000 0.0000 0.4194 [6 per cell]
B 0.0000 0.0000 0.0000 [3 per cell]
B 0.0000 0.0000 0.5000 [3 per cell]
Pt 0.0085 0.5043 0.2997 [18 per cell]
Pt 0.0195 0.5097 0.8652 [18 per cell]

***

13.
First-principles (PBE) data for a relaxed K3Hg4Pd2 crystal, as listed in Alexandria.

Computed properties:
ΔE_f, kJ/mol of atoms: -20
Raw total energy, eV per atom: -1.858

a b c (Å): 12.4290 4.8068 9.2569
angles (deg): 90.00 98.65 90.00
Space group C2/m (No. 12)
Inequivalent atoms, fractional coordinates:
K 0.0000 0.0000 0.0000 [2 per cell]
K 0.1046 0.5000 0.6935 [4 per cell]
Hg 0.1048 0.0000 0.3684 [4 per cell]
Hg 0.2101 0.5000 0.1068 [4 per cell]
Pd 0.2152 0.5000 0.4079 [4 per cell]

***

14.
First-principles (PBE) data for a relaxed LaInHgO crystal, as listed in Alexandria.

Computed properties:
Raw total energy, eV per atom: -4.813

a b c (Å): 4.2257 4.2257 10.9558
angles (deg): 90.00 90.00 90.00
Space group P4/nmm (No. 129, origin choice 2)
Inequivalent atoms, fractional coordinates:
La 0.2500 0.2500 0.1043 [2 per cell]
In 0.2500 0.7500 0.5000 [2 per cell]
Hg 0.2500 0.2500 0.7184 [2 per cell]
O 0.2500 0.7500 0.0000 [2 per cell]

***

15.
First-principles (PBE) data for a relaxed Ba8Au3I4Cl crystal, as listed in Alexandria.

Computed properties:
Raw total energy, eV per atom: -3.267

a b c (Å): 9.5085 9.5085 26.4217
angles (deg): 90.00 90.00 120.00
Space group R-3m (No. 166, hexagonal axes)
Inequivalent atoms, fractional coordinates:
Ba 0.0000 0.0000 0.2340 [6 per cell]
Ba 0.0086 0.5043 0.7629 [18 per cell]
Au 0.0000 0.5000 0.5000 [9 per cell]
I 0.0000 0.0000 0.0000 [3 per cell]
I 0.0000 0.5000 0.0000 [9 per cell]
Cl 0.0000 0.0000 0.5000 [3 per cell]

***

16.
First-principles (PBE) data for a relaxed NdAgSeS crystal, as listed in Alexandria.

Computed properties:
Raw total energy, eV per atom: -5.064

a b c (Å): 4.5491 4.5491 33.5424
angles (deg): 90.00 90.00 120.00
Space group R-3m (No. 166, hexagonal axes)
Inequivalent atoms, fractional coordinates:
Nd 0.0000 0.0000 0.1106 [6 per cell]
Ag 0.0000 0.0000 0.3066 [6 per cell]
Se 0.0000 0.0000 0.3890 [6 per cell]
S 0.0000 0.0000 0.1971 [6 per cell]

***

17.
First-principles (PBE) data for a relaxed La2Ni crystal, as listed in Alexandria.

Computed properties:
ΔE_f, kJ/mol of atoms: -15
Raw total energy, eV per atom: -5.365

a b c (Å): 4.0270 4.0270 6.6278
angles (deg): 90.00 90.00 120.00
Space group P-3m1 (No. 164)
Inequivalent atoms, fractional coordinates:
La 0.3333 0.6667 0.2553 [2 per cell]
Ni 0.0000 0.0000 0.5000 [1 per cell]

***

18.
First-principles (PBE) data for a relaxed ErLu2Al crystal, as listed in Alexandria.

Computed properties:
ΔE_f, kJ/mol of atoms: -4
Raw total energy, eV per atom: -4.375
Distance to the lowest polymorph of the same formula, eV/atom: 0.162

a b c (Å): 7.4317 7.4317 7.4317
angles (deg): 90.00 90.00 90.00
Space group Fm-3m (No. 225)
Inequivalent atoms, fractional coordinates:
Er 0.0000 0.0000 0.0000 [4 per cell]
Lu 0.2500 0.2500 0.2500 [8 per cell]
Al 0.0000 0.0000 0.5000 [4 per cell]

***

19.
First-principles (PBE) data for a relaxed AcTmAl2 crystal, as listed in Alexandria.

Computed properties:
ΔE_f, kJ/mol of atoms: -29
Raw total energy, eV per atom: -4.316

a b c (Å): 3.7679 3.7679 7.4800
angles (deg): 90.00 90.00 90.00
Space group P4/mmm (No. 123)
Inequivalent atoms, fractional coordinates:
Ac 0.0000 0.0000 0.0000 [1 per cell]
Tm 0.0000 0.0000 0.5000 [1 per cell]
Al 0.5000 0.5000 0.2915 [2 per cell]

***

20.
First-principles (PBE) data for a relaxed Ag3PtF crystal, as listed in Alexandria.

Computed properties:
Raw total energy, eV per atom: -2.779
Distance to the lowest polymorph of the same formula, eV/atom: 0.379

a b c (Å): 5.1619 5.1619 5.1619
angles (deg): 90.00 90.00 90.00
Space group Pm-3m (No. 221)
Inequivalent atoms, fractional coordinates:
Ag 0.0000 0.0000 0.5000 [3 per cell]
Pt 0.0000 0.0000 0.0000 [1 per cell]
F 0.5000 0.5000 0.5000 [1 per cell]

***

21.
First-principles (PBE) data for a relaxed MgFeNiIr crystal, as listed in Alexandria.

Computed properties:
ΔE_f, kJ/mol of atoms: -12
Raw total energy, eV per atom: -6.296

a b c (Å): 6.0142 6.0142 6.0142
angles (deg): 90.00 90.00 90.00
Space group F-43m (No. 216)
Inequivalent atoms, fractional coordinates:
Mg 0.0000 0.0000 0.0000 [4 per cell]
Fe 0.0000 0.0000 0.5000 [4 per cell]
Ni 0.2500 0.2500 0.7500 [4 per cell]
Ir 0.2500 0.2500 0.2500 [4 per cell]